No. 1
Here is a relaxed As3PC crystal from the Alexandria database. Energies are from PBE.

Results
**Formation energy**: 1.977 eV/atom
**E_tot**: -18.695 eV for the cell shown
**Energy above the lowest structure with this stoichiometry**: 766 meV/atom
**Space-group type**: No. 221

abc: 4.6900 4.6900 4.6900
angles: 90.00 90.00 90.00
Last column: nearest neighbours and their distance in Å.
Element x y z (fractional)
As (0.0000, 0.0000, 0.5000)  2 P 2.35
As (0.0000, 0.5000, 0.0000)  2 P 2.35
As (0.5000, 0.0000, 0.0000)  2 P 2.35
P (0.0000, 0.0000, 0.0000)  6 As 2.35
C (0.5000, 0.5000, 0.5000)  12 As 3.32

No. 2
Here is a relaxed AsP3C crystal from the Alexandria database. Energies are from PBE.

Results
**Formation energy**: 2.378 eV/atom
**E_tot**: -18.214 eV for the cell shown
**Energy above the lowest structure with this stoichiometry**: 1226 meV/atom
**Space-group type**: No. 221

abc: 4.6624 4.6624 4.6624
angles: 90.00 90.00 90.00
Last column: nearest neighbours and their distance in Å.
Element x y z (fractional)
As (0.0000, 0.0000, 0.0000)  6 P 2.33
P (0.0000, 0.0000, 0.5000)  2 As 2.33
P (0.0000, 0.5000, 0.0000)  2 As 2.33
P (0.5000, 0.0000, 0.0000)  2 As 2.33
C (0.5000, 0.5000, 0.5000)  12 P 3.30

No. 3
Here is a relaxed AsPPbC2 crystal from the Alexandria database. Energies are from PBE.

Results
**Formation energy**: 2.763 eV/atom
**E_tot**: -18.400 eV for the cell shown
**Space-group type**: No. 123

abc: 4.3844 4.3844 5.4082
angles: 90.00 90.00 90.00
Last column: nearest neighbours and their distance in Å.
Element x y z (fractional)
As (0.0000, 0.0000, 0.0000)  4 P 3.10
P (0.5000, 0.5000, 0.0000)  2 Pb 2.70
Pb (0.5000, 0.5000, 0.5000)  4 C 2.19
C (0.0000, 0.5000, 0.5000)  2 Pb 2.19
C (0.5000, 0.0000, 0.5000)  2 Pb 2.19

No. 4
Here is a relaxed RbAsPC2 crystal from the Alexandria database. Energies are from PBE.

Results
**Formation energy**: 3.587 eV/atom
**E_tot**: -11.541 eV for the cell shown
**Space-group type**: No. 123

abc: 4.6009 4.6009 6.4206
angles: 90.00 90.00 90.00
Last column: nearest neighbours and their distance in Å.
Element x y z (fractional)
Rb (0.0000, 0.0000, 0.0000)  4 C 2.30
As (0.5000, 0.5000, 0.5000)  4 P 3.25
P (0.0000, 0.0000, 0.5000)  2 Rb 3.21, 4 As 3.25
C (0.0000, 0.5000, 0.0000)  2 Rb 2.30
C (0.5000, 0.0000, 0.0000)  2 Rb 2.30

No. 5
Here is a relaxed AsPRhC crystal from the Alexandria database. Energies are from PBE.

Results
**Formation energy**: 0.197 eV/atom
**E_tot**: -25.845 eV for the cell shown
**Energy above the lowest structure with this stoichiometry**: 125 meV/atom
**Space-group type**: No. 8

abc: 4.6353 4.6353 6.2715
angles: 124.60 124.60 36.87
Last column: nearest neighbours and their distance in Å.
Element x y z (fractional)
As (0.0000, 0.0000, 0.0000)  1 C 1.97
P (0.4862, 0.4862, 0.5141)  2 C 1.78
Rh (0.3003, 0.3003, 0.0625)  1 P 2.27, 1 C 2.29, 3 As 2.43-2.49
C (0.9950, 0.9950, 0.6821)  2 P 1.78, 1 As 1.97

No. 6
Here is a relaxed AsPRhC crystal from the Alexandria database. Energies are from PBE.

Results
**Formation energy**: 0.267 eV/atom
**E_tot**: -25.568 eV for the cell shown
**Energy above the lowest structure with this stoichiometry**: 194 meV/atom
**Space-group type**: No. 8

abc: 4.1279 4.1279 5.5803
angles: 104.83 104.83 41.56
Last column: nearest neighbours and their distance in Å.
Element x y z (fractional)
As (0.0000, 0.0000, 0.0000)  1 P 2.45, 3 Rh 2.50-2.59
P (0.0148, 0.0148, 0.5675)  2 C 1.76
Rh (0.7527, 0.7527, 0.2344)  1 C 2.04
C (0.6202, 0.6202, 0.5047)  2 P 1.76

No. 7
Here is a relaxed AsPRhC crystal from the Alexandria database. Energies are from PBE.

Results
**Formation energy**: 0.317 eV/atom
**E_tot**: -25.367 eV for the cell shown
**Energy above the lowest structure with this stoichiometry**: 245 meV/atom
**Space-group type**: No. 6

abc: 3.6396 3.1009 5.2204
angles: 90.00 93.02 90.00
Last column: nearest neighbours and their distance in Å.
Element x y z (fractional)
As (0.0000, 0.0000, 0.0000)  2 C 1.95
P (0.4185, 0.5000, 0.4369)  1 C 1.77
Rh (0.9029, 0.0000, 0.5240)  4 P 2.37-2.49, 1 As 2.49
C (0.2970, 0.5000, 0.1038)  1 P 1.77, 2 As 1.95

No. 8
Here is a relaxed AsPRhC crystal from the Alexandria database. Energies are from PBE.

Results
**Formation energy**: 0.332 eV/atom
**E_tot**: -25.305 eV for the cell shown
**Energy above the lowest structure with this stoichiometry**: 260 meV/atom
**Space-group type**: No. 1

abc: 3.6523 4.4289 4.4902
angles: 75.04 66.08 65.67
Last column: nearest neighbours and their distance in Å.
Element x y z (fractional)
As (0.0000, 0.0000, 0.0000)  1 C 1.89
P (0.5475, 0.4619, 0.4410)  1 C 1.74
Rh (0.7792, 0.8163, 0.6261)  1 C 2.02
C (0.7572, 0.4652, 0.0170)  1 P 1.74, 1 As 1.89

No. 9
Here is a relaxed AsPRhC crystal from the Alexandria database. Energies are from PBE.

Results
**Formation energy**: 0.202 eV/atom
**E_tot**: -25.827 eV for the cell shown
**Energy above the lowest structure with this stoichiometry**: 129 meV/atom
**Space-group type**: No. 1

abc: 2.9406 4.6159 4.8053
angles: 83.62 79.18 77.54
Last column: nearest neighbours and their distance in Å.
Element x y z (fractional)
As (0.0000, 0.0000, 0.0000)  1 C 1.95
P (0.4483, 0.4993, 0.5606)  2 C 1.77-1.80
Rh (0.3568, 0.0133, 0.4334)  1 C 2.25, 2 P 2.35-2.47, 1 As 2.51
C (0.9493, 0.3540, 0.7355)  2 P 1.77-1.80, 1 As 1.95

No. 10
Here is a relaxed AsPRhC crystal from the Alexandria database. Energies are from PBE.

Results
**Formation energy**: 0.350 eV/atom
**E_tot**: -25.235 eV for the cell shown
**Energy above the lowest structure with this stoichiometry**: 278 meV/atom
**Space-group type**: No. 1

abc: 3.6089 4.3084 4.4694
angles: 82.15 66.48 90.00
Last column: nearest neighbours and their distance in Å.
Element x y z (fractional)
As (0.0000, 0.0000, 0.0000)  1 C 1.93
P (0.8966, 0.4209, 0.6198)  1 C 1.74
Rh (0.4481, 0.5922, 0.1118)  2 C 2.09-2.34
C (0.8213, 0.3194, 0.2827)  1 P 1.74, 1 As 1.93

No. 11
Here is a relaxed AsPRhC crystal from the Alexandria database. Energies are from PBE.

Results
**Formation energy**: 0.140 eV/atom
**E_tot**: -26.077 eV for the cell shown
**Energy above the lowest structure with this stoichiometry**: 67 meV/atom
**Space-group type**: No. 8

abc: 4.0334 4.0334 5.6437
angles: 108.16 108.16 42.91
Last column: nearest neighbours and their distance in Å.
Element x y z (fractional)
As (0.0000, 0.0000, 0.0000)  1 C 2.01
P (0.4548, 0.4548, 0.5064)  2 C 1.77
Rh (0.2428, 0.2428, 0.7256)  3 P 2.32-2.57, 1 C 2.33, 2 As 2.51
C (0.9875, 0.9875, 0.3511)  2 P 1.77

No. 12
Here is a relaxed AsPRhC crystal from the Alexandria database. Energies are from PBE.

Results
**Formation energy**: 0.364 eV/atom
**E_tot**: -25.179 eV for the cell shown
**Energy above the lowest structure with this stoichiometry**: 292 meV/atom
**Space-group type**: No. 156

abc: 3.2934 3.2934 6.5701
angles: 90.00 90.00 120.00
Last column: nearest neighbours and their distance in Å.
Element x y z (fractional)
As (0.0000, 0.0000, 0.0000)  3 C 2.05
P (0.0000, 0.0000, 0.3769)  3 Rh 2.20
Rh (0.3333, 0.6667, 0.5465)  3 P 2.20, 1 C 2.21
C (0.3333, 0.6667, 0.8823)  3 As 2.05, 1 Rh 2.21

Look up the formation energy of the seventh one.
0.317 eV/atom